No. 1
Material: Ba2Zn5Cu5
Method: DFT, PBE
State: relaxed

abc: 4.1752 5.5987 9.7302
angles: 90.00 90.00 90.00
Sites, in units of the cell vectors:
Cu  0.0000  0.0000  0.8403
Cu  0.5000  0.0000  0.0000
Cu  0.0000  0.0000  0.1597
Cu  0.0000  0.5000  0.6668
Cu  0.0000  0.5000  0.3332
Zn  0.5000  0.7540  0.7553
Zn  0.5000  0.5000  0.5000
Zn  0.5000  0.2460  0.7553
Zn  0.5000  0.2460  0.2447
Zn  0.5000  0.7540  0.2447
Ba  0.0000  0.0000  0.5000
Ba  0.0000  0.5000  0.0000

Computed properties:
Fermi-level density of states   0.5413 states/eV per atom

No. 2
Material: BaZnCu2
Method: DFT, PBE
State: relaxed

abc: 4.3846 6.0256 7.0008
angles: 90.00 90.00 90.00
Sites, in units of the cell vectors:
Zn  0.0000  0.3844  0.0000
Zn  0.5000  0.6156  0.5000
Ba  0.5000  0.8884  0.0000
Ba  0.0000  0.1116  0.5000
Cu  0.0000  0.5904  0.6846
Cu  0.5000  0.4096  0.8154
Cu  0.0000  0.5904  0.3154
Cu  0.5000  0.4096  0.1846

Computed properties:
Fermi-level density of states   0.4696 states/eV per atom

No. 3
Material: BaZn4Cu
Method: DFT, PBE
State: relaxed

abc: 5.5553 5.5553 5.5553
angles: 60.00 60.00 60.00
Sites, in units of the cell vectors:
Zn  0.3723  0.8830  0.3723
Zn  0.3723  0.3723  0.3723
Zn  0.3723  0.3723  0.8830
Zn  0.8830  0.3723  0.3723
Ba  0.7500  0.7500  0.7500
Cu  0.0000  0.0000  0.0000

Computed properties:
Fermi-level density of states   0.6118 states/eV per atom
Relative energy among the computed polymorphs   194.3 meV/atom

No. 4
Material: Ba3Zn4Cu2
Method: DFT, PBE
State: relaxed

abc: 4.6165 4.6165 27.0067
angles: 90.00 90.00 120.00
Sites, in units of the cell vectors:
Ba  0.3333  0.6667  0.4181
Ba  0.3333  0.6667  0.7522
Ba  0.3333  0.6667  0.5811
Ba  0.3333  0.6667  0.9152
Ba  0.3333  0.6667  0.0895
Ba  0.3333  0.6667  0.2439
Zn  0.6667  0.3333  0.8339
Zn  0.6667  0.3333  0.3324
Zn  0.0000  0.0000  0.3322
Zn  0.6667  0.3333  0.0010
Zn  0.0000  0.0000  0.6667
Zn  0.6667  0.3333  0.6667
Zn  0.0000  0.0000  0.0011
Zn  0.6667  0.3333  0.4994
Cu  0.0000  0.0000  0.4994
Cu  0.0000  0.0000  0.8339
Cu  0.0000  0.0000  0.1667
Cu  0.6667  0.3333  0.1667

Computed properties:
Fermi-level density of states   0.5199 states/eV per atom

No. 5
Material: Ba3Zn2Cu
Method: DFT, PBE
State: relaxed

abc: 4.5799 14.0106 13.4376
angles: 90.00 90.00 90.00
Sites, in units of the cell vectors:
Zn  0.2500  0.6811  0.4610
Zn  0.2500  0.8189  0.9610
Zn  0.7500  0.1811  0.0390
Zn  0.7500  0.5148  0.2075
Zn  0.2500  0.4852  0.7925
Zn  0.7500  0.3189  0.5390
Zn  0.2500  0.0148  0.2925
Zn  0.7500  0.9852  0.7075
Ba  0.7500  0.1975  0.2875
Ba  0.7500  0.9428  0.1164
Ba  0.7500  0.5572  0.6164
Ba  0.2500  0.0572  0.8836
Ba  0.2500  0.4428  0.3836
Ba  0.7500  0.3025  0.7875
Ba  0.2500  0.1262  0.5585
Ba  0.7500  0.8738  0.4415
Ba  0.2500  0.6975  0.2125
Ba  0.7500  0.6262  0.9415
Ba  0.2500  0.3738  0.0585
Ba  0.2500  0.8025  0.7125
Cu  0.7500  0.6293  0.3781
Cu  0.2500  0.3707  0.6219
Cu  0.7500  0.8707  0.8781
Cu  0.2500  0.1293  0.1219

Computed properties:
Fermi-level density of states   0.7643 states/eV per atom

No. 6
Material: BaZn2Cu2
Method: DFT, PBE
State: relaxed

abc: 7.9833 7.9833 3.0027
angles: 90.00 90.00 90.00
Sites, in units of the cell vectors:
Cu  0.3326  0.1674  0.5000
Cu  0.8326  0.3326  0.5000
Cu  0.1674  0.6674  0.5000
Cu  0.6674  0.8326  0.5000
Zn  0.6149  0.1149  0.0000
Zn  0.1149  0.3851  0.0000
Zn  0.3851  0.8851  0.0000
Zn  0.8851  0.6149  0.0000
Ba  0.5000  0.5000  0.0000
Ba  0.0000  0.0000  0.0000

Computed properties:
Fermi-level density of states   0.4269 states/eV per atom
Relative energy among the computed polymorphs   276.1 meV/atom

No. 7
Material: BaZn2Cu2
Method: DFT, PBE
State: relaxed

abc: 7.9364 7.9364 3.1380
angles: 90.00 90.00 90.00
Sites, in units of the cell vectors:
Zn  0.1466  0.6466  0.5000
Zn  0.6466  0.8534  0.5000
Zn  0.8534  0.3534  0.5000
Zn  0.3534  0.1466  0.5000
Cu  0.3832  0.8832  0.0000
Cu  0.6168  0.1168  0.0000
Cu  0.1168  0.3832  0.0000
Cu  0.8832  0.6168  0.0000
Ba  0.5000  0.5000  0.0000
Ba  0.0000  0.0000  0.0000

Computed properties:
Fermi-level density of states   0.4885 states/eV per atom
Relative energy among the computed polymorphs   260.8 meV/atom

No. 8
Material: Ba2Zn3Cu2
Method: DFT, PBE
State: relaxed

abc: 4.1963 6.2584 7.9043
angles: 120.18 90.00 109.59
Sites, in units of the cell vectors:
Zn  0.5000  0.0000  0.0000
Zn  0.6613  0.3225  0.4245
Zn  0.3387  0.6775  0.5755
Cu  0.1196  0.2393  0.1966
Cu  0.8804  0.7607  0.8034
Ba  0.1348  0.2696  0.7572
Ba  0.8652  0.7304  0.2428

Computed properties:
Fermi-level density of states   0.6158 states/eV per atom

No. 9
Material: BaZn2Cu2
Method: DFT, PBE
State: relaxed

abc: 4.4243 4.4243 6.1863
angles: 69.05 69.05 90.00
Sites, in units of the cell vectors:
Cu  0.3773  0.3773  0.2454
Cu  0.6227  0.6227  0.7546
Zn  0.2500  0.7500  0.5000
Zn  0.7500  0.2500  0.5000
Ba  0.0000  0.0000  0.0000

Computed properties:
Fermi-level density of states   0.4568 states/eV per atom
Relative energy among the computed polymorphs   26.1 meV/atom

No. 10
Material: BaZnCu2
Method: DFT, PBE
State: relaxed

abc: 4.8381 4.8381 4.0515
angles: 90.03 90.03 89.97
Sites, in units of the cell vectors:
Ba  0.0000  0.5000  0.5000
Cu  0.0000  0.0000  0.0000
Cu  0.5000  0.5000  0.0000
Zn  0.5000  0.0000  0.5000

Computed properties:
Fermi-level density of states   0.2928 states/eV per atom

Values for DFT formation energy, meV/atom, ordered as above
-91, -108, 64, -134, -111, 167, 151, -114, -83, 343